Computed, not measured: a geometry-optimized TmTlCrF6 structure at the PBE with a Hubbard U level of DFT.

a b c (Å): 5.8422 5.8422 11.6869
angles (deg): 90.00 90.00 120.00
Space group P-31c (No. 163)
Asymmetric unit:
Tm (0.3333, 0.6667, 0.2500) x2
Tl (0.0000, 0.0000, 0.0000) x2
Cr (0.3333, 0.6667, 0.7500) x2
F (0.0017, 0.3812, 0.6525) x12

Results
Its total DFT energy (no corrections) is -5.843 eV per atom. As for the volume: 345.5 Å³/cell.